1.
First-principles (PBE-GGA) data for a geometry-optimized LaTbOs structure, as listed in Alexandria.

The structure in POSCAR format:
```
LaTbOs
1.0
4.8918 0.0000 0.0000
2.4459 4.2364 0.0000
2.4459 1.4121 3.9941
Tb La Os
1 1 1
Direct
0.0000 0.0000 0.0000
0.5000 0.5000 0.5000
0.2500 0.2500 0.2500
```

Results
Crystal system = cubic
E above lowest polymorph = 0.00 eV per formula unit
Calculated density = 9.791 g/cm3
Formation energy from the elements = -0.14 eV per atom
Magnetization = 0.000 μB/atom

---

2.
First-principles (PBE-GGA) data for a geometry-optimized AcTbGaAu structure, as listed in Alexandria.

The structure in POSCAR format:
```
AcTbGaAu
1.0
5.3574 0.0000 0.0000
2.6787 4.6397 0.0000
2.6787 1.5466 4.3743
Ga Tb Au Ac
1 1 1 1
Direct
0.2500 0.2500 0.2500
0.5000 0.5000 0.5000
0.7500 0.7500 0.7500
0.0000 0.0000 0.0000
```

Results
Crystal system = cubic
Calculated density = 9.967 g/cm3
Formation energy from the elements = -0.59 eV per atom
Magnetization = 0.000 μB/atom

---

3.
First-principles (PBE-GGA) data for a geometry-optimized CdInAg2 structure, as listed in Alexandria.

The structure in POSCAR format:
```
CdInAg2
1.0
3.6498 0.0000 0.0000
0.0000 3.3523 0.0092
0.0000 3.3752 6.5979
Cd Ag In
1 2 1
Direct
0.5000 0.2500 0.2500
0.0000 0.9952 0.0077
0.0000 0.5048 0.4923
0.5000 0.7500 0.7500
```

Results
Crystal system = monoclinic
Calculated density = 9.125 g/cm3
Formation energy from the elements = -0.01 eV per atom
Magnetization = 0.000 μB/atom